The following is a DFT calculation (PBEsol) of a geometry-optimized Rb3SbO3 structure.

CIF file:
```
data_Rb3SbO3
_chemical_formula_sum 'Rb12 Sb4 O12'
_cell_length_a 9.6382
_cell_length_b 6.6477
_cell_length_c 10.6228
_cell_angle_alpha 90.00
_cell_angle_beta 98.49
_cell_angle_gamma 90.00
_symmetry_space_group_name_H-M 'P 1'
_symmetry_Int_Tables_number 1
loop_
_symmetry_equiv_pos_as_xyz
'x,y,z'
loop_
_atom_site_label
_atom_site_type_symbol
_atom_site_fract_x
_atom_site_fract_y
_atom_site_fract_z
Rb1 Rb 0.0387 0.1697 0.1893
Rb2 Rb 0.0387 0.3303 0.6893
Rb3 Rb 0.3240 0.1369 0.9458
Rb4 Rb 0.3240 0.3631 0.4458
Rb5 Rb 0.4322 0.5782 0.8132
Rb6 Rb 0.4322 0.9218 0.3132
Rb7 Rb 0.5678 0.0782 0.6868
Rb8 Rb 0.5678 0.4218 0.1868
Rb9 Rb 0.6760 0.6369 0.5542
Rb10 Rb 0.6760 0.8631 0.0542
Rb11 Rb 0.9613 0.6697 0.3107
Rb12 Rb 0.9613 0.8303 0.8107
Sb1 Sb 0.2159 0.6334 0.0666
Sb2 Sb 0.2159 0.8666 0.5666
Sb3 Sb 0.7841 0.1334 0.4334
Sb4 Sb 0.7841 0.3666 0.9334
O1 O 0.1715 0.5146 0.8977
O2 O 0.1715 0.9854 0.3977
O3 O 0.2681 0.1030 0.6732
O4 O 0.2681 0.3970 0.1732
O5 O 0.4025 0.7477 0.0572
O6 O 0.4025 0.7523 0.5572
O7 O 0.5975 0.2477 0.4428
O8 O 0.5975 0.2523 0.9428
O9 O 0.7319 0.6030 0.8268
O10 O 0.7319 0.8970 0.3268
O11 O 0.8285 0.0146 0.6023
O12 O 0.8285 0.4854 0.1023
```

uncorrected formation energy: -1.458 eV per atom
DFT total energy: -0.17634 Ha/atom
density of states at the Fermi level: 0.00 states/eV per atom


The following is a DFT calculation (PBEsol) of a geometry-optimized Rb12Sn2Sb6O structure.

CIF file:
```
data_Rb12Sn2Sb6O
_chemical_formula_sum 'Rb12 Sn2 Sb6 O1'
_cell_length_a 12.2766
_cell_length_b 12.2766
_cell_length_c 6.2274
_cell_angle_alpha 90.00
_cell_angle_beta 90.00
_cell_angle_gamma 120.00
_symmetry_space_group_name_H-M 'P 1'
_symmetry_Int_Tables_number 1
loop_
_symmetry_equiv_pos_as_xyz
'x,y,z'
loop_
_atom_site_label
_atom_site_type_symbol
_atom_site_fract_x
_atom_site_fract_y
_atom_site_fract_z
Rb1 Rb 0.0902 0.5451 0.2495
Rb2 Rb 0.1116 0.2232 0.2757
Rb3 Rb 0.1116 0.8884 0.2757
Rb4 Rb 0.2232 0.1116 0.7243
Rb5 Rb 0.4549 0.5451 0.2495
Rb6 Rb 0.4549 0.9098 0.2495
Rb7 Rb 0.5451 0.0902 0.7505
Rb8 Rb 0.5451 0.4549 0.7505
Rb9 Rb 0.7768 0.8884 0.2757
Rb10 Rb 0.8884 0.1116 0.7243
Rb11 Rb 0.8884 0.7768 0.7243
Rb12 Rb 0.9098 0.4549 0.7505
Sn1 Sn 0.3333 0.6667 0.7534
Sn2 Sn 0.6667 0.3333 0.2466
Sb1 Sb 0.2053 0.4107 0.7605
Sb2 Sb 0.2053 0.7947 0.7605
Sb3 Sb 0.4107 0.2053 0.2395
Sb4 Sb 0.5893 0.7947 0.7605
Sb5 Sb 0.7947 0.2053 0.2395
Sb6 Sb 0.7947 0.5893 0.2395
O1 O 0.0000 0.0000 0.5000
```

uncorrected formation energy: -0.481 eV per atom
DFT total energy: -0.11116 Ha/atom
density of states at the Fermi level: 0.00 states/eV per atom